Record 1
# InPd2RhO, single point on PBEsol structure, DFT SCAN
# Energy relative to the elements, uncorrected: -0.1452 eV per atom
# N(E_F): 2.7 states/eV per cell
# Calculated density: 10.2 g cm⁻³
# DFT total energy: -139.7 eV per formula unit
data_InPd2RhO
_cell_length_a 4.237
_cell_length_b 4.237
_cell_length_c 4.041
_cell_angle_alpha 90.00
_cell_angle_beta 90.00
_cell_angle_gamma 90.00
_symmetry_space_group_name_H-M 'P 4/m m m'
_symmetry_Int_Tables_number 123
_symmetry_space_group_name_Hall '-P 4 2'
loop_
_atom_site_label
_atom_site_fract_x
_atom_site_fract_y
_atom_site_fract_z
_atom_site_occupancy
In1 0.000 0.000 0.000 1
Pd1 0.000 0.500 0.500 1
Rh1 0.500 0.500 0.000 1
O1 0.500 0.500 0.500 1

***

Record 2
# InPdS2O, single point on PBEsol structure, DFT SCAN
# Energy relative to the elements, uncorrected: 0.4200 eV per atom
# N(E_F): 2.9 states/eV per cell
# Calculated density: 6.3 g cm⁻³
# DFT total energy: -89.5 eV per formula unit
data_InPdS2O
_cell_length_a 4.149
_cell_length_b 4.149
_cell_length_c 4.609
_cell_angle_alpha 90.00
_cell_angle_beta 90.00
_cell_angle_gamma 90.00
_symmetry_space_group_name_H-M 'P 4/m m m'
_symmetry_Int_Tables_number 123
_symmetry_space_group_name_Hall '-P 4 2'
loop_
_atom_site_label
_atom_site_fract_x
_atom_site_fract_y
_atom_site_fract_z
_atom_site_occupancy
In1 0.000 0.000 0.000 1
Pd1 0.500 0.500 0.000 1
S1 0.000 0.500 0.500 1
O1 0.000 0.000 0.500 1

***

Record 3
# InPdW2O, single point on PBEsol structure, DFT SCAN
# Energy relative to the elements, uncorrected: 2.3293 eV per atom
# N(E_F): 3.6 states/eV per cell
# Calculated density: 9.2 g cm⁻³
# DFT total energy: -200.1 eV per formula unit
data_InPdW2O
_cell_length_a 4.728
_cell_length_b 4.728
_cell_length_c 4.907
_cell_angle_alpha 90.00
_cell_angle_beta 90.00
_cell_angle_gamma 90.00
_symmetry_space_group_name_H-M 'P 4/m m m'
_symmetry_Int_Tables_number 123
_symmetry_space_group_name_Hall '-P 4 2'
loop_
_atom_site_label
_atom_site_fract_x
_atom_site_fract_y
_atom_site_fract_z
_atom_site_occupancy
In1 0.000 0.000 0.000 1
Pd1 0.000 0.000 0.500 1
W1 0.000 0.500 0.500 1
O1 0.500 0.500 0.000 1

***

Record 4
# Pr3InO, single point on PBEsol structure, DFT SCAN
# Energy relative to the elements, uncorrected: -1.5900 eV per atom
# N(E_F): 1.7 states/eV per cell
# Calculated density: 7.6 g cm⁻³
# DFT total energy: -177.5 eV per formula unit
data_Pr3InO
_cell_length_a 4.954
_cell_length_b 4.954
_cell_length_c 4.954
_cell_angle_alpha 90.00
_cell_angle_beta 90.00
_cell_angle_gamma 90.00
_symmetry_space_group_name_H-M 'P m -3 m'
_symmetry_Int_Tables_number 221
_symmetry_space_group_name_Hall '-P 4 2 3'
loop_
_atom_site_label
_atom_site_fract_x
_atom_site_fract_y
_atom_site_fract_z
_atom_site_occupancy
Pr1 0.000 0.000 0.500 1
In1 0.500 0.500 0.500 1
O1 0.000 0.000 0.000 1

***

Record 5
# In3PtO, single point on PBEsol structure, DFT SCAN
# Energy relative to the elements, uncorrected: -0.1054 eV per atom
# N(E_F): 5.0 states/eV per cell
# Calculated density: 7.2 g cm⁻³
# DFT total energy: -177.1 eV per formula unit
data_In3PtO
_cell_length_a 5.052
_cell_length_b 5.052
_cell_length_c 5.052
_cell_angle_alpha 90.00
_cell_angle_beta 90.00
_cell_angle_gamma 90.00
_symmetry_space_group_name_H-M 'P m -3 m'
_symmetry_Int_Tables_number 221
_symmetry_space_group_name_Hall '-P 4 2 3'
loop_
_atom_site_label
_atom_site_fract_x
_atom_site_fract_y
_atom_site_fract_z
_atom_site_occupancy
In1 0.000 0.000 0.500 1
Pt1 0.000 0.000 0.000 1
O1 0.500 0.500 0.500 1

***

Record 6
# RbIn2O, single point on PBEsol structure, DFT SCAN
# Energy relative to the elements, uncorrected: 0.3038 eV per atom
# N(E_F): 6.3 states/eV per cell
# Calculated density: 5.5 g cm⁻³
# DFT total energy: -92.5 eV per formula unit
data_RbIn2O
_cell_length_a 7.355
_cell_length_b 7.355
_cell_length_c 7.355
_cell_angle_alpha 90.00
_cell_angle_beta 90.00
_cell_angle_gamma 90.00
_symmetry_space_group_name_H-M 'F m -3 m'
_symmetry_Int_Tables_number 225
_symmetry_space_group_name_Hall '-F 4 2 3'
loop_
_atom_site_label
_atom_site_fract_x
_atom_site_fract_y
_atom_site_fract_z
_atom_site_occupancy
Rb1 0.000 0.000 0.000 1
In1 0.250 0.250 0.250 1
O1 0.000 0.000 0.500 1